1.
Density functional theory data (PBE) for a relaxed structure of H2Cl3F.

a b c (Å): 6.828 6.828 12.542
angles (deg): 118.12 118.12 38.65
Fractional positions:
H 0.027 0.718 0.504
H 0.282 0.973 0.996
H 0.718 0.027 0.004
H 0.973 0.282 0.496
Cl 0.160 0.840 0.750
Cl 0.170 0.194 0.599
Cl 0.194 0.170 0.099
Cl 0.806 0.830 0.901
Cl 0.830 0.806 0.401
Cl 0.840 0.160 0.250
F 0.204 0.796 0.250
F 0.796 0.204 0.750

Output
symmetry	C2/c (15)
M_tot	0.0	μB per formula unit
E_tot	-33.20	eV per cell
DOS(E_F)	0.000	states/eV per cell

=====

2.
Density functional theory data (PBE) for a relaxed structure of H2ClF8.

a b c (Å): 4.229 4.229 9.681
angles (deg): 101.31 101.31 94.19
Fractional positions:
H 0.078 0.078 0.401
H 0.922 0.922 0.599
Cl 0.000 0.000 0.000
F 0.060 0.660 0.876
F 0.089 0.089 0.651
F 0.340 0.940 0.124
F 0.404 0.404 0.535
F 0.596 0.596 0.465
F 0.660 0.060 0.876
F 0.911 0.911 0.349
F 0.940 0.340 0.124

Output
symmetry	C2/m (12)
M_tot	0.9	μB per formula unit
E_tot	-32.07	eV per cell

=====

3.
Density functional theory data (PBE) for a relaxed structure of HClF3.

a b c (Å): 3.585 3.585 3.585
angles (deg): 90.00 90.00 90.00
Fractional positions:
H 0.000 0.000 0.000
Cl 0.500 0.500 0.500
F 0.000 0.000 0.500
F 0.000 0.500 0.000
F 0.500 0.000 0.000

Output
symmetry	Pm-3m (221)
energy above the lowest structure with this stoichiometry	863	meV per atom
M_tot	1.3	μB per formula unit
DOS(E_F)	4.195	states/eV per cell

=====

4.
Density functional theory data (PBE) for a relaxed structure of HClF3.

a b c (Å): 6.127 6.127 4.208
angles (deg): 90.00 90.00 97.63
Fractional positions:
H 0.008 0.992 0.500
H 0.992 0.008 0.000
Cl 0.376 0.624 0.512
Cl 0.624 0.376 0.012
F 0.061 0.939 0.290
F 0.157 0.554 0.784
F 0.446 0.843 0.784
F 0.554 0.157 0.284
F 0.843 0.446 0.284
F 0.939 0.061 0.790

Output
symmetry	Cmc2_1 (36)
energy above the lowest structure with this stoichiometry	0	meV per atom
M_tot	1.0	μB per formula unit

=====

5.
Density functional theory data (PBE) for a relaxed structure of HClF2.

a b c (Å): 5.876 5.876 5.876
angles (deg): 29.92 29.92 29.92
Fractional positions:
H 0.000 0.000 0.000
Cl 0.500 0.500 0.500
F 0.387 0.387 0.387
F 0.613 0.613 0.613

Output
symmetry	R-3m (166)
energy above the lowest structure with this stoichiometry	930	meV per atom
M_tot	0.0	μB per formula unit
DOS(E_F)	1.025	states/eV per cell

=====

6.
Density functional theory data (PBE) for a relaxed structure of H3Cl2F2.

a b c (Å): 4.695 4.695 5.751
angles (deg): 90.64 90.64 68.64
Fractional positions:
H 0.000 0.000 0.000
H 0.183 0.183 0.238
H 0.817 0.817 0.762
Cl 0.250 0.250 0.500
Cl 0.750 0.750 0.500
F 0.145 0.145 0.048
F 0.855 0.855 0.952

Output
symmetry	C2/m (12)
M_tot	0.2	μB per formula unit
E_tot	-24.20	eV per cell
DOS(E_F)	1.420	states/eV per cell